1.
TaHg2Au | PBE | relaxed

Output
- ΔH_f (0 K) (meV/atom) = 325
- energy relative to the lowest polymorph listed for this composition (eV per formula unit) = 0.576

Cell lengths 9.396, 3.068, 5.612 Å; angles 90.00, 97.84, 90.00 degrees
Space group Cm (No. 8)
Asymmetric unit:
Ta 0.000 0.000 0.000 x2
Hg 0.004 0.500 0.522 x2
Hg 0.248 0.500 0.260 x2
Au 0.259 0.000 0.795 x2


2.
LiNd2Hg5 | PBE | relaxed

Output
- ΔH_f (0 K) (meV/atom) = -329

Cell lengths 5.212, 5.212, 14.756 Å; angles 90.00, 90.00, 90.00 degrees
Space group I4/mmm (No. 139)
Asymmetric unit:
Li 0.000 0.000 0.000 x2
Nd 0.000 0.000 0.260 x4
Hg 0.000 0.000 0.500 x2
Hg 0.000 0.500 0.115 x8


3.
Tc5Os | PBE | relaxed

Output
- ΔH_f (0 K) (meV/atom) = 73
- energy relative to the lowest polymorph listed for this composition (eV per formula unit) = 0.608

Cell lengths 2.737, 2.737, 11.680 Å; angles 90.00, 90.00, 90.00 degrees
Space group P4/mmm (No. 123)
Asymmetric unit:
Tc 0.000 0.000 0.000 x1
Tc 0.000 0.000 0.336 x2
Tc 0.500 0.500 0.166 x2
Os 0.500 0.500 0.500 x1


4.
MgMo2 | PBE | relaxed

Output
- ΔH_f (0 K) (meV/atom) = 185
- energy relative to the lowest polymorph listed for this composition (eV per formula unit) = 0.000

Cell lengths 4.5825, 4.5825, 2.7068 Å; angles 90.00, 90.00, 120.00 degrees
Space group P-3m1 (No. 164)
Asymmetric unit:
Mg 0.0000 0.0000 0.0000 x1
Mo 0.3333 0.6667 0.3763 x2


5.
Ce3As2PtRh9 | PBE | relaxed

Output
- ΔH_f (0 K) (meV/atom) = -347

Cell lengths 6.4404, 6.4404, 8.7488 Å; angles 90.00, 90.00, 120.00 degrees
Space group P-3m1 (No. 164)
Asymmetric unit:
Ce 0.0000 0.0000 0.0000 x1
Ce 0.3333 0.6667 0.7260 x2
As 0.3333 0.6667 0.1846 x2
Pt 0.0000 0.0000 0.5000 x1
Rh 0.0000 0.5000 0.0000 x3
Rh 0.1378 0.2756 0.2597 x6


6.
Ho2MgBi | PBE | relaxed

Output
- ΔH_f (0 K) (meV/atom) = -279
- energy relative to the lowest polymorph listed for this composition (eV per formula unit) = 0.432

Cell lengths 7.649, 7.649, 7.649 Å; angles 90.00, 90.00, 90.00 degrees
Space group Fm-3m (No. 225)
Asymmetric unit:
Ho 0.250 0.250 0.250 x8
Mg 0.000 0.000 0.000 x4
Bi 0.000 0.000 0.500 x4


7.
CdCu2Ru | PBE | relaxed

Output
- ΔH_f (0 K) (meV/atom) = 242

Cell lengths 2.867, 2.867, 7.120 Å; angles 90.00, 90.00, 90.00 degrees
Space group P4mm (No. 99)
Asymmetric unit:
Cd 0.000 0.000 0.000 x1
Cu 0.000 0.000 0.479 x1
Cu 0.500 0.500 0.274 x1
Ru 0.500 0.500 0.708 x1


8.
TbNd2Al2Ga2 | PBE | relaxed

Output
- ΔH_f (0 K) (meV/atom) = -419

Cell lengths 4.2765, 4.2765, 33.8555 Å; angles 90.00, 90.00, 120.00 degrees
Space group R-3m (No. 166, hexagonal axes)
Asymmetric unit:
Tb 0.0000 0.0000 0.0000 x3
Nd 0.0000 0.0000 0.1226 x6
Al 0.0000 0.0000 0.3921 x6
Ga 0.0000 0.0000 0.2704 x6


9.
Cs3CdAg2F8 | PBE | relaxed

Output
- uncorrected formation energy (eV per atom) = -1.9865

Cell lengths 6.4193, 6.4193, 8.7310 Å; angles 90.00, 90.00, 120.00 degrees
Space group P-3m1 (No. 164)
Asymmetric unit:
Cs 0.0000 0.0000 0.0000 x1
Cs 0.3333 0.6667 0.6372 x2
Cd 0.0000 0.0000 0.5000 x1
Ag 0.3333 0.6667 0.2011 x2
F 0.1616 0.3232 0.3452 x6
F 0.3333 0.6667 0.9588 x2


10.
MgRh2Pb | PBE | relaxed

Output
- ΔH_f (0 K) (meV/atom) = 160

Cell lengths 3.1120, 3.1120, 26.9367 Å; angles 90.00, 90.00, 120.00 degrees
Space group R3m (No. 160, hexagonal axes)
Asymmetric unit:
Mg 0.0000 0.0000 0.0000 x3
Rh 0.0000 0.0000 0.2608 x3
Rh 0.0000 0.0000 0.5186 x3
Pb 0.0000 0.0000 0.7693 x3


11.
Ba2GePbCl | PBE | relaxed

Output
- uncorrected formation energy (eV per atom) = -0.3275

Cell lengths 6.492, 6.492, 5.025 Å; angles 90.00, 90.00, 90.00 degrees
Space group P4/mmm (No. 123)
Asymmetric unit:
Ba 0.000 0.500 0.000 x2
Ge 0.000 0.000 0.000 x1
Pb 0.500 0.500 0.500 x1
Cl 0.000 0.000 0.500 x1


12.
Mg2ReSi | PBE | relaxed

Output
- uncorrected formation energy (eV per atom) = 0.1646

Cell lengths 9.289, 2.761, 5.085 Å; angles 90.00, 97.18, 90.00 degrees
Space group Cm (No. 8)
Asymmetric unit:
Mg 0.000 0.000 0.000 x2
Mg 0.236 0.000 0.748 x2
Re 0.248 0.500 0.266 x2
Si 0.484 0.000 0.456 x2


E / eV/atom: -3.61; -1.95; -10.44; -7.57; -6.97; -3.94; -4.35; -4.38; -3.71; -4.84; -3.13; -5.10
Volume / A^3/atom: 20.0; 25.1; 14.6; 16.4; 21.0; 28.0; 14.6; 25.5; 22.3; 18.8; 42.4; 16.2